A plane-wave DFT calculation with PBE was carried out for crystalline FeCuAuBr2 at its relaxed geometry.

Computed properties:
The total energy comes out at -0.2303 Ry/atom. The formation energy without anion corrections comes out at 703 meV/atom. Its size of the total moment is 0.0003 μB per atom. The crystal system is tetragonal.

CIF file:
```
data_FeCuAuBr2
_cell_length_a 4.6741
_cell_length_b 4.6741
_cell_length_c 5.1256
_cell_angle_alpha 90.00
_cell_angle_beta 90.00
_cell_angle_gamma 90.00
_symmetry_space_group_name_H-M 'P 4/m m m'
_symmetry_Int_Tables_number 123
_symmetry_space_group_name_Hall '-P 4 2'
loop_
_atom_site_label
_atom_site_fract_x
_atom_site_fract_y
_atom_site_fract_z
_atom_site_occupancy
Fe1 0.0000 0.0000 0.0000 1
Cu1 0.5000 0.5000 0.5000 1
Au1 0.0000 0.0000 0.5000 1
Br1 0.0000 0.5000 0.0000 1
```

---

A plane-wave DFT calculation with PBE was carried out for crystalline BaAl3Bi at its relaxed geometry.

Computed properties:
The total energy comes out at -0.1531 Ry/atom. The value obtained for the formation energy is 1323 meV/atom. Its size of the total moment is 0.0000 μB per atom. The crystal system is cubic.

CIF file:
```
data_BaAl3Bi
_cell_length_a 5.8732
_cell_length_b 5.8732
_cell_length_c 5.8732
_cell_angle_alpha 90.00
_cell_angle_beta 90.00
_cell_angle_gamma 90.00
_symmetry_space_group_name_H-M 'P m -3 m'
_symmetry_Int_Tables_number 221
_symmetry_space_group_name_Hall '-P 4 2 3'
loop_
_atom_site_label
_atom_site_fract_x
_atom_site_fract_y
_atom_site_fract_z
_atom_site_occupancy
Ba1 0.0000 0.0000 0.0000 1
Al1 0.0000 0.0000 0.5000 1
Bi1 0.5000 0.5000 0.5000 1
```

---

A plane-wave DFT calculation with PBE was carried out for crystalline BeZnIn2C at its relaxed geometry.

Computed properties:
The total energy comes out at -0.1688 Ry/atom. The value obtained for the formation energy is 1644 meV/atom. Its size of the total moment is 0.3754 μB per atom. The crystal system is tetragonal.

CIF file:
```
data_BeZnIn2C
_cell_length_a 5.0800
_cell_length_b 5.0800
_cell_length_c 4.2277
_cell_angle_alpha 90.00
_cell_angle_beta 90.00
_cell_angle_gamma 90.00
_symmetry_space_group_name_H-M 'P 4/m m m'
_symmetry_Int_Tables_number 123
_symmetry_space_group_name_Hall '-P 4 2'
loop_
_atom_site_label
_atom_site_fract_x
_atom_site_fract_y
_atom_site_fract_z
_atom_site_occupancy
Be1 0.0000 0.0000 0.0000 1
Zn1 0.0000 0.0000 0.5000 1
In1 0.0000 0.5000 0.5000 1
C1 0.5000 0.5000 0.0000 1
```

---

A plane-wave DFT calculation with PBE was carried out for crystalline ZrUS2O at its relaxed geometry.

Computed properties:
The total energy comes out at -0.6360 Ry/atom. The formation energy without anion corrections comes out at -2043 meV/atom. Its size of the total moment is 0.4686 μB per atom. The crystal system is tetragonal.

CIF file:
```
data_ZrUS2O
_cell_length_a 3.6950
_cell_length_b 3.6950
_cell_length_c 13.0128
_cell_angle_alpha 90.00
_cell_angle_beta 90.00
_cell_angle_gamma 90.00
_symmetry_space_group_name_H-M 'P 4/n m m'
_symmetry_Int_Tables_number 129
loop_
_symmetry_equiv_pos_as_xyz
'x,y,z'
'-x,-y,-z'
'-y+1/2,x,z'
'y+1/2,-x,-z'
'-x+1/2,-y+1/2,z'
'x+1/2,y+1/2,-z'
'y,-x+1/2,z'
'-y,x+1/2,-z'
'x+1/2,-y,-z'
'-x+1/2,y,z'
'-y,-x,-z'
'y,x,z'
'-x,y+1/2,-z'
'x,-y+1/2,z'
'y+1/2,x+1/2,-z'
'-y+1/2,-x+1/2,z'
loop_
_atom_site_label
_atom_site_fract_x
_atom_site_fract_y
_atom_site_fract_z
_atom_site_occupancy
Zr1 0.2500 0.2500 0.0877 1
U1 0.2500 0.2500 0.6066 1
S1 0.2500 0.2500 0.2960 1
S2 0.2500 0.2500 0.8846 1
O1 0.2500 0.7500 0.5000 1
```

---

A plane-wave DFT calculation with PBE was carried out for crystalline Pu4TeSeS2 at its relaxed geometry.

Computed properties:
The total energy comes out at -0.7737 Ry/atom. The formation energy without anion corrections comes out at -1501 meV/atom. Its size of the total moment is 2.8625 μB per atom. The crystal system is monoclinic.

CIF file:
```
data_Pu4TeSeS2
_cell_length_a 7.1440
_cell_length_b 4.1234
_cell_length_c 7.1841
_cell_angle_alpha 90.00
_cell_angle_beta 109.38
_cell_angle_gamma 90.00
_symmetry_space_group_name_H-M 'P 1 2/m 1'
_symmetry_Int_Tables_number 10
loop_
_symmetry_equiv_pos_as_xyz
'x,y,z'
'-x,-y,-z'
'-x,y,-z'
'x,-y,z'
loop_
_atom_site_label
_atom_site_fract_x
_atom_site_fract_y
_atom_site_fract_z
_atom_site_occupancy
Pu1 0.2316 0.0000 0.2212 1
Pu2 0.2485 0.5000 0.7719 1
Te1 0.5000 0.5000 0.5000 1
Se1 0.0000 0.0000 0.5000 1
S1 0.0000 0.5000 0.0000 1
S2 0.5000 0.0000 0.0000 1
```

---

A plane-wave DFT calculation with PBE was carried out for crystalline LiTm4Au7 at its relaxed geometry.

Computed properties:
The total energy comes out at -0.3143 Ry/atom. The value obtained for the formation energy is -715 meV/atom. Its size of the total moment is 0.0000 μB per atom. The crystal system is monoclinic.

CIF file:
```
data_LiTm4Au7
_cell_length_a 13.8435
_cell_length_b 5.0532
_cell_length_c 8.9021
_cell_angle_alpha 90.00
_cell_angle_beta 123.80
_cell_angle_gamma 90.00
_symmetry_space_group_name_H-M 'C 1 2/m 1'
_symmetry_Int_Tables_number 12
loop_
_symmetry_equiv_pos_as_xyz
'x,y,z'
'-x,-y,-z'
'-x,y,-z'
'x,-y,z'
'x+1/2,y+1/2,z'
'-x+1/2,-y+1/2,-z'
'-x+1/2,y+1/2,-z'
'x+1/2,-y+1/2,z'
loop_
_atom_site_label
_atom_site_fract_x
_atom_site_fract_y
_atom_site_fract_z
_atom_site_occupancy
Li1 0.0000 0.0000 0.0000 1
Tm1 0.0629 0.5000 0.7422 1
Tm2 0.2432 0.5000 0.2592 1
Au1 0.0000 0.5000 0.0000 1
Au2 0.0683 0.0000 0.3485 1
Au3 0.1825 0.0000 0.9846 1
Au4 0.1869 0.5000 0.5539 1
```

---

A plane-wave DFT calculation with PBE was carried out for crystalline AlCrSe2 at its relaxed geometry.

Computed properties:
The total energy comes out at -0.3789 Ry/atom. The formation energy without anion corrections comes out at -72 meV/atom. Its size of the total moment is 1.1321 μB per atom. The crystal system is monoclinic.

CIF file:
```
data_AlCrSe2
_cell_length_a 4.1362
_cell_length_b 3.5375
_cell_length_c 6.6252
_cell_angle_alpha 90.00
_cell_angle_beta 97.13
_cell_angle_gamma 90.00
_symmetry_space_group_name_H-M 'P 1 2/m 1'
_symmetry_Int_Tables_number 10
loop_
_symmetry_equiv_pos_as_xyz
'x,y,z'
'-x,-y,-z'
'-x,y,-z'
'x,-y,z'
loop_
_atom_site_label
_atom_site_fract_x
_atom_site_fract_y
_atom_site_fract_z
_atom_site_occupancy
Al1 0.0000 0.0000 0.0000 1
Cr1 0.5000 0.0000 0.5000 1
Se1 0.2140 0.5000 0.2540 1
```

---

A plane-wave DFT calculation with PBE was carried out for crystalline Cr2AgOs at its relaxed geometry.

Computed properties:
The total energy comes out at -0.5708 Ry/atom. The value obtained for the formation energy is 566 meV/atom. Its size of the total moment is 1.2660 μB per atom. The crystal system is tetragonal.

CIF file:
```
data_Cr2AgOs
_cell_length_a 4.4922
_cell_length_b 4.4922
_cell_length_c 2.9256
_cell_angle_alpha 90.00
_cell_angle_beta 90.00
_cell_angle_gamma 90.00
_symmetry_space_group_name_H-M 'P 4/m m m'
_symmetry_Int_Tables_number 123
_symmetry_space_group_name_Hall '-P 4 2'
loop_
_atom_site_label
_atom_site_fract_x
_atom_site_fract_y
_atom_site_fract_z
_atom_site_occupancy
Cr1 0.0000 0.5000 0.0000 1
Ag1 0.0000 0.0000 0.5000 1
Os1 0.5000 0.5000 0.5000 1
```

---

A plane-wave DFT calculation with PBE was carried out for crystalline SrCaZn at its relaxed geometry.

Computed properties:
The total energy comes out at -0.1234 Ry/atom. The value obtained for the formation energy is -26 meV/atom. Its size of the total moment is 0.0000 μB per atom. The crystal system is trigonal.

CIF file:
```
data_SrCaZn
_cell_length_a 4.1481
_cell_length_b 4.1481
_cell_length_c 7.6322
_cell_angle_alpha 90.00
_cell_angle_beta 90.00
_cell_angle_gamma 120.00
_symmetry_space_group_name_H-M 'P 3 m 1'
_symmetry_Int_Tables_number 156
loop_
_symmetry_equiv_pos_as_xyz
'x,y,z'
'-y,x-y,z'
'-x+y,-x,z'
'-y,-x,z'
'-x+y,y,z'
'x,x-y,z'
loop_
_atom_site_label
_atom_site_fract_x
_atom_site_fract_y
_atom_site_fract_z
_atom_site_occupancy
Sr1 0.0000 0.0000 0.0000 1
Ca1 0.3333 0.6667 0.5436 1
Zn1 0.6667 0.3333 0.2874 1
```

---

A plane-wave DFT calculation with PBE was carried out for crystalline Na3B5Pt9 at its relaxed geometry.

Computed properties:
The total energy comes out at -0.4279 Ry/atom. The value obtained for the formation energy is -427 meV/atom. Its size of the total moment is 0.0000 μB per atom. The crystal system is orthorhombic.

CIF file:
```
data_Na3B5Pt9
_cell_length_a 5.5995
_cell_length_b 11.5195
_cell_length_c 15.3175
_cell_angle_alpha 90.00
_cell_angle_beta 90.00
_cell_angle_gamma 90.00
_symmetry_space_group_name_H-M 'C m c m'
_symmetry_Int_Tables_number 63
_symmetry_space_group_name_Hall '-C 2c 2'
loop_
_atom_site_label
_atom_site_fract_x
_atom_site_fract_y
_atom_site_fract_z
_atom_site_occupancy
Na1 0.0000 0.0589 0.0856 1
Na2 0.0000 0.1862 0.2500 1
B1 0.0000 0.2276 0.7500 1
B2 0.0000 0.3113 0.5280 1
B3 0.0000 0.4441 0.1463 1
Pt1 0.0000 0.3718 0.6569 1
Pt2 0.0000 0.5000 0.0000 1
Pt3 0.2460 0.0858 0.7500 1
Pt4 0.2473 0.3157 0.0790 1
```

---

- Which of these has the highest total energy?
  SrCaZn

---

- Look up the total energy of the seventh one.
  -0.3789 Ry/atom

---

- Which of these has the lowest total energy?
  Pu4TeSeS2